# 1
# SrCd2Br

An optimized crystal structure of SrCd2Br (PBE-GGA, Alexandria via LeMat-Bulk).

Computed properties:
Uncorrected energy: -1.981 eV per atom
Formation energy from raw total energies: -2.739 eV per formula unit

Cell: 4.3960 4.3960 12.6111 Å, 90.00 90.00 90.00°
Closest atoms and distances in Å follow each position.
Space group I4/mmm (No. 139)
Symmetry-distinct sites (fractional):
Sr 0.0000 0.0000 0.0000 x2  4 Br 3.11
Cd 0.0000 0.5000 0.2500 x4  4 Cd 3.11
Br 0.0000 0.0000 0.5000 x2  4 Sr 3.11

***

# 2
# GePtBr

An optimized crystal structure of GePtBr (PBE-GGA, Alexandria via LeMat-Bulk).

Computed properties:
Uncorrected energy: -4.416 eV per atom
Formation energy from raw total energies: -0.918 eV per formula unit

Cell: 6.7969 6.3409 6.5300 Å, 90.00 104.14 90.00°
Closest atoms and distances in Å follow each position.
Space group P2_1/c (No. 14)
Symmetry-distinct sites (fractional):
Ge 0.1180 0.1296 0.3662 x4  3 Pt 2.46-2.47
Pt 0.2209 0.0312 0.7432 x4  3 Ge 2.46-2.47
Br 0.3578 0.6263 0.6657 x4  3 Pt 2.82-2.87, 1 Ge 2.84

***

# 3
# Zr3AlSi3

An optimized crystal structure of Zr3AlSi3 (PBE-GGA, Alexandria via LeMat-Bulk).

Computed properties:
Uncorrected energy: -6.953 eV per atom
Formation energy from raw total energies: -3.015 eV per formula unit

Cell: 3.6853 7.3951 9.7711 Å, 90.00 90.00 90.00°
Closest atoms and distances in Å follow each position.
Space group Pmmn (No. 59, origin choice 2)
Symmetry-distinct sites (fractional):
Zr 0.2500 0.0094 0.1425 x4  4 Si 2.71-2.77
Zr 0.2500 0.2500 0.6440 x2  7 Si 2.74-2.80
Al 0.2500 0.7500 0.6766 x2  4 Si 2.70
Si 0.2500 0.0147 0.4199 x4  2 Si 2.43, 2 Al 2.70, 1 Zr 2.71
Si 0.2500 0.2500 0.9249 x2  7 Zr 2.74-2.77

***

# 4
# Tc2BiS

An optimized crystal structure of Tc2BiS (PBE-GGA, Alexandria via LeMat-Bulk).

Computed properties:
Uncorrected energy: -6.667 eV per atom
Formation energy from raw total energies: 2.073 eV per formula unit

Cell: 5.9103 5.9103 10.2342 Å, 90.00 90.00 90.00°
Closest atoms and distances in Å follow each position.
Space group I-42d (No. 122)
Symmetry-distinct sites (fractional):
Tc 0.1811 0.2500 0.1250 x8  2 S 2.23
Bi 0.0000 0.0000 0.5000 x4  4 Tc 2.72
S 0.0000 0.0000 0.0000 x4  4 Tc 2.23